No. 1
This record from Alexandria via LeMat-Bulk describes a geometry-optimized NdDy2Cd structure. The functional is PBE.

Geometry as extended XYZ:
```
4
Lattice="4.886 0.000 0.000 0.000 4.891 0.000 0.000 0.000 4.891" Properties=species:S:1:pos:R:3 pbc="T T T"
Cd 2.443 0.000 0.000
Nd 2.443 2.446 2.446
Dy 0.000 0.000 2.446
Dy 0.000 2.446 0.000
```

Fermi-level density of states	5.8	states/eV per cell
DFT formation energy	-92	meV per atom
total DFT energy (no corrections)	-3.814	eV per atom
M_tot	0.02	Bohr magnetons per cell
ΔE to the lowest computed polymorph	0.054	eV per atom

No. 2
This record from Alexandria via LeMat-Bulk describes a geometry-optimized Nd2Dy3Cd6 structure. The functional is PBE.

Geometry as extended XYZ:
```
11
Lattice="-4.780 -0.313 1.534 1.535 0.020 4.789 0.778 14.084 -2.949" Properties=species:S:1:pos:R:3 pbc="T T T"
Nd -0.614 10.148 0.155
Nd -1.852 3.643 3.219
Dy 0.000 0.000 0.000
Dy -2.242 10.090 3.318
Dy -0.224 3.701 0.056
Cd 0.661 1.774 2.422
Cd -2.497 1.607 0.794
Cd -3.127 12.017 0.952
Cd 0.031 12.184 2.580
Cd -2.049 6.907 3.269
Cd -0.417 6.884 0.105
```

Fermi-level density of states	10.1	states/eV per cell
DFT formation energy	90	meV per atom
total DFT energy (no corrections)	-2.531	eV per atom
M_tot	0.18	Bohr magnetons per cell

No. 3
This record from Alexandria via LeMat-Bulk describes a geometry-optimized Nd9DyCd2 structure. The functional is PBE.

Geometry as extended XYZ:
```
12
Lattice="-2.732 2.370 -3.489 -3.970 -2.849 1.173 -4.329 10.309 10.390" Properties=species:S:1:pos:R:3 pbc="T T T"
Nd -3.351 -0.240 -1.158
Nd -4.806 3.225 2.335
Nd -6.225 6.604 5.740
Nd -2.111 2.960 0.045
Nd -3.530 6.339 3.450
Nd -4.949 9.719 6.856
Nd -2.730 0.351 2.376
Nd -4.149 3.730 5.782
Nd -5.568 7.109 9.188
Dy 0.000 0.000 0.000
Cd -1.470 3.500 3.528
Cd -2.859 6.809 6.863
```

Fermi-level density of states	18.3	states/eV per cell
DFT formation energy	-63	meV per atom
total DFT energy (no corrections)	-4.175	eV per atom
M_tot	0.00	Bohr magnetons per cell

No. 4
This record from Alexandria via LeMat-Bulk describes a geometry-optimized NdDyCd5 structure. The functional is PBE.

Geometry as extended XYZ:
```
7
Lattice="5.217 0.000 0.000 0.000 5.217 0.000 0.000 0.000 6.885" Properties=species:S:1:pos:R:3 pbc="T T T"
Nd 0.000 0.000 3.442
Dy 2.609 2.609 0.000
Cd 0.000 2.609 5.314
Cd 0.000 2.609 1.571
Cd 2.609 0.000 5.314
Cd 2.609 0.000 1.571
Cd 2.609 2.609 3.442
```

Fermi-level density of states	3.9	states/eV per cell
DFT formation energy	-123	meV per atom
total DFT energy (no corrections)	-2.115	eV per atom
M_tot	0.00	Bohr magnetons per cell